(1)
A plane-wave DFT calculation with GGA-PBE was carried out for a geometry-optimized BiSbOs2C structure.

* space group: P4/mmm, No. 123
* uncorrected formation energy: 1797 kJ/mol of formula units

Cell: 5.0285 5.9094 5.0285 Å, 90.00 90.00 90.00°
Fractional coordinates of all 5 atoms:
Sb1 0.0000 0.5000 0.0000
C1 0.5000 0.5000 0.5000
Os1 0.0000 0.0000 0.5000
Os2 0.5000 0.0000 0.0000
Bi1 0.0000 0.0000 0.0000


(2)
A plane-wave DFT calculation with GGA-PBE was carried out for a geometry-optimized Nd2TmIr structure.

* space group: Pnma, No. 62
* formation energy: -2.0 eV per formula unit
* excess energy over the best structure of this formula in the dataset: 0 meV per atom

Cell: 6.4143 7.2870 9.8081 Å, 90.00 90.00 90.00°
Fractional coordinates of all 16 atoms:
Nd1 0.1745 0.6797 0.0651
Nd2 0.3255 0.1797 0.4349
Nd3 0.8255 0.3203 0.5651
Nd4 0.6745 0.8203 0.9349
Nd5 0.8255 0.3203 0.9349
Nd6 0.6745 0.8203 0.5651
Nd7 0.1745 0.6797 0.4349
Nd8 0.3255 0.1797 0.0651
Tm1 0.6492 0.5394 0.2500
Tm2 0.8508 0.0394 0.2500
Tm3 0.3508 0.4606 0.7500
Tm4 0.1492 0.9606 0.7500
Ir1 0.0415 0.3804 0.2500
Ir2 0.4585 0.8804 0.2500
Ir3 0.9585 0.6196 0.7500
Ir4 0.5415 0.1196 0.7500


(3)
A plane-wave DFT calculation with GGA-PBE was carried out for a geometry-optimized Y2InIr structure.

* space group: I-4m2, No. 119
* formation energy: -1.6 eV per formula unit

Cell: 5.7263 5.7263 5.7263 Å, 135.45 135.45 64.83°
Fractional coordinates of all 4 atoms:
In1 0.5000 0.5000 0.0000
Ir1 0.7500 0.2500 0.5000
Y1 0.0000 0.0000 0.0000
Y2 0.2500 0.7500 0.5000


(4)
A plane-wave DFT calculation with GGA-PBE was carried out for a geometry-optimized Ni2RhAu structure.

* space group: P2/m, No. 10
* formation energy: 0.4 eV per formula unit

Cell: 3.5864 2.7545 6.1895 Å, 63.80 90.00 90.00°
Fractional coordinates of all 4 atoms:
Rh1 0.5000 0.2500 0.2500
Au1 0.5000 0.7500 0.7500
Ni1 0.0000 0.9767 0.0222
Ni2 0.0000 0.5233 0.4778